Entry 1:
The following is a meta-GGA SCAN calculation of TiReN2F at its PBEsol-relaxed geometry, from Alexandria via LeMat-Bulk.

The structure in POSCAR format:
```
TiReN2F
1.0
-2.802 2.336 -0.161
-2.358 -2.918 -1.287
-0.952 -0.884 3.747
Re N F Ti
1 2 1 1
Direct
0.500 0.500 0.500 Re
0.000 0.000 0.500 N
0.000 0.500 0.000 N
0.500 0.000 0.000 F
0.000 0.000 0.000 Ti
```



Entry 2:
The following is a meta-GGA SCAN calculation of TlReNF2 at its PBEsol-relaxed geometry, from Alexandria via LeMat-Bulk.

The structure in POSCAR format:
```
TlReNF2
1.0
4.310 0.000 0.000
0.000 4.350 0.000
0.000 0.000 4.350
Re Tl N F
1 1 1 2
Direct
0.500 0.500 0.500 Re
0.000 0.000 0.000 Tl
0.500 0.000 0.000 N
0.000 0.000 0.500 F
0.000 0.500 0.000 F
```



Entry 3:
The following is a meta-GGA SCAN calculation of ReWNF2 at its PBEsol-relaxed geometry, from Alexandria via LeMat-Bulk.

The structure in POSCAR format:
```
ReWNF2
1.0
-0.048 1.119 -3.678
2.005 -3.480 -1.085
-3.644 -1.931 -0.540
Re N W F
1 1 1 2
Direct
0.000 0.000 0.000 Re
0.500 0.000 0.000 N
0.500 0.500 0.500 W
0.000 0.000 0.500 F
0.000 0.500 0.000 F
```



Entry 4:
The following is a meta-GGA SCAN calculation of RhN2F2 at its PBEsol-relaxed geometry, from Alexandria via LeMat-Bulk.

The structure in POSCAR format:
```
RhN2F2
1.0
3.721 0.000 0.000
0.000 3.721 0.000
0.000 0.000 3.960
N Rh F
2 1 2
Direct
0.000 0.500 0.000 N
0.500 0.000 0.000 N
0.000 0.000 0.000 Rh
0.500 0.500 0.500 F
0.000 0.000 0.500 F
```



Entry 5:
The following is a meta-GGA SCAN calculation of RhNF2 at its PBEsol-relaxed geometry, from Alexandria via LeMat-Bulk.

The structure in POSCAR format:
```
RhNF2
1.0
3.571 0.000 0.000
1.786 5.666 0.000
1.786 0.000 5.666
N Rh F
2 2 4
Direct
0.500 0.000 0.000 N
0.250 0.500 0.500 N
0.000 0.000 0.000 Rh
0.750 0.500 0.500 Rh
0.875 0.196 0.304 F
0.375 0.804 0.696 F
0.821 0.304 0.804 F
0.929 0.696 0.196 F
```



Entry 6:
The following is a meta-GGA SCAN calculation of RhS2NF at its PBEsol-relaxed geometry, from Alexandria via LeMat-Bulk.

The structure in POSCAR format:
```
RhS2NF
1.0
3.533 0.000 0.000
0.000 4.313 0.000
0.000 0.000 4.313
S N Rh F
2 1 1 1
Direct
0.000 0.000 0.500 S
0.000 0.500 0.000 S
0.500 0.000 0.000 N
0.500 0.500 0.500 Rh
0.000 0.000 0.000 F
```



Entry 7:
The following is a meta-GGA SCAN calculation of RhSe2NF at its PBEsol-relaxed geometry, from Alexandria via LeMat-Bulk.

The structure in POSCAR format:
```
RhSe2NF
1.0
3.664 0.000 0.000
0.000 4.465 0.000
0.000 0.000 4.465
N Rh Se F
1 1 2 1
Direct
0.500 0.000 0.000 N
0.500 0.500 0.500 Rh
0.000 0.000 0.500 Se
0.000 0.500 0.000 Se
0.000 0.000 0.000 F
```



Entry 8:
The following is a meta-GGA SCAN calculation of SnRhN2F at its PBEsol-relaxed geometry, from Alexandria via LeMat-Bulk.

Values from the calculation:
- E above lowest polymorph (eV/atom) = 0.3986

The structure in POSCAR format:
```
SnRhN2F
1.0
3.913 0.000 0.000
0.000 4.090 0.000
0.000 0.000 4.090
N Rh Sn F
2 1 1 1
Direct
0.000 0.000 0.500 N
0.000 0.500 0.000 N
0.500 0.500 0.500 Rh
0.000 0.000 0.000 Sn
0.500 0.000 0.000 F
```



Entry 9:
The following is a meta-GGA SCAN calculation of SnRhN2F at its PBEsol-relaxed geometry, from Alexandria via LeMat-Bulk.

Values from the calculation:
- E above lowest polymorph (eV/atom) = 0.0000

The structure in POSCAR format:
```
SnRhN2F
1.0
-3.015 -2.327 -0.505
1.675 -1.494 -3.118
1.916 -3.019 2.475
N Rh Sn F
2 1 1 1
Direct
0.000 0.500 0.000 N
0.500 0.000 0.000 N
0.000 0.000 0.000 Rh
0.500 0.500 0.500 Sn
0.000 0.000 0.500 F
```



Entry 10:
The following is a meta-GGA SCAN calculation of Y2RhNF at its PBEsol-relaxed geometry, from Alexandria via LeMat-Bulk.

The structure in POSCAR format:
```
Y2RhNF
1.0
3.924 0.000 0.000
0.000 5.029 0.000
0.000 0.000 5.029
Y N Rh F
2 1 1 1
Direct
0.000 0.000 0.500 Y
0.000 0.500 0.000 Y
0.500 0.500 0.500 N
0.000 0.000 0.000 Rh
0.500 0.000 0.000 F
```



Entry 11:
The following is a meta-GGA SCAN calculation of ZrRhNF2 at its PBEsol-relaxed geometry, from Alexandria via LeMat-Bulk.

The structure in POSCAR format:
```
ZrRhNF2
1.0
4.069 0.000 0.000
0.000 4.069 0.000
0.000 0.000 4.246
N Rh Zr F
1 1 1 2
Direct
0.000 0.000 0.500 N
0.500 0.500 0.500 Rh
0.000 0.000 0.000 Zr
0.000 0.500 0.000 F
0.500 0.000 0.000 F
```



Entry 12:
The following is a meta-GGA SCAN calculation of RuSeN2F at its PBEsol-relaxed geometry, from Alexandria via LeMat-Bulk.

The structure in POSCAR format:
```
RuSeN2F
1.0
3.669 0.000 0.000
0.000 3.669 0.000
0.000 0.000 5.201
Ru N Se F
1 2 1 1
Direct
0.000 0.000 0.000 Ru
0.000 0.500 0.000 N
0.500 0.000 0.000 N
0.000 0.000 0.500 Se
0.500 0.500 0.500 F
```



Entry 13:
The following is a meta-GGA SCAN calculation of RuSeNF2 at its PBEsol-relaxed geometry, from Alexandria via LeMat-Bulk.

The structure in POSCAR format:
```
RuSeNF2
1.0
3.742 0.000 0.000
0.000 4.138 0.000
0.000 0.000 4.138
Ru N Se F
1 1 1 2
Direct
0.000 0.000 0.000 Ru
0.500 0.000 0.000 N
0.500 0.500 0.500 Se
0.000 0.000 0.500 F
0.000 0.500 0.000 F
```



Entry 14:
The following is a meta-GGA SCAN calculation of TeRuNF2 at its PBEsol-relaxed geometry, from Alexandria via LeMat-Bulk.

The structure in POSCAR format:
```
TeRuNF2
1.0
4.121 0.000 0.000
0.000 4.411 0.000
0.000 0.000 4.411
Ru N Te F
1 1 1 2
Direct
0.500 0.500 0.500 Ru
0.500 0.000 0.000 N
0.000 0.000 0.000 Te
0.000 0.000 0.500 F
0.000 0.500 0.000 F
```



Entry 15:
The following is a meta-GGA SCAN calculation of Te2RuNF at its PBEsol-relaxed geometry, from Alexandria via LeMat-Bulk.

The structure in POSCAR format:
```
Te2RuNF
1.0
-2.973 -1.514 1.256
2.308 -0.625 4.709
-1.779 4.741 1.501
Ru N Te F
1 1 2 1
Direct
0.000 0.000 0.000 Ru
0.500 0.000 0.000 N
0.000 0.000 0.500 Te
0.000 0.500 0.000 Te
0.500 0.500 0.500 F
```



Entry 16:
The following is a meta-GGA SCAN calculation of TeRuN2F at its PBEsol-relaxed geometry, from Alexandria via LeMat-Bulk.

The structure in POSCAR format:
```
TeRuN2F
1.0
3.917 0.000 0.000
0.000 3.917 0.000
0.000 0.000 4.026
Ru N Te F
1 2 1 1
Direct
0.000 0.000 0.000 Ru
0.000 0.500 0.000 N
0.500 0.000 0.000 N
0.500 0.500 0.500 Te
0.000 0.000 0.500 F
```



Entry 17:
The following is a meta-GGA SCAN calculation of TlRuNF2 at its PBEsol-relaxed geometry, from Alexandria via LeMat-Bulk.

The structure in POSCAR format:
```
TlRuNF2
1.0
4.140 0.000 0.000
0.000 4.412 0.000
0.000 0.000 4.412
Ru Tl N F
1 1 1 2
Direct
0.500 0.500 0.500 Ru
0.000 0.000 0.000 Tl
0.500 0.000 0.000 N
0.000 0.000 0.500 F
0.000 0.500 0.000 F
```



Entry 18:
The following is a meta-GGA SCAN calculation of YRuNF2 at its PBEsol-relaxed geometry, from Alexandria via LeMat-Bulk.

The structure in POSCAR format:
```
YRuNF2
1.0
-2.723 2.629 1.660
-3.087 -2.022 -1.861
-0.424 -2.816 3.762
Y Ru N F
1 1 1 2
Direct
0.000 0.000 0.000 Y
0.500 0.500 0.500 Ru
0.000 0.000 0.500 N
0.000 0.500 0.000 F
0.500 0.000 0.000 F
```



Entry 19:
The following is a meta-GGA SCAN calculation of ZrRuNF2 at its PBEsol-relaxed geometry, from Alexandria via LeMat-Bulk.

The structure in POSCAR format:
```
ZrRuNF2
1.0
-1.690 -2.115 3.053
-0.659 -3.131 -2.533
3.820 -1.611 0.999
Ru N Zr F
1 1 1 2
Direct
0.500 0.500 0.500 Ru
0.000 0.000 0.500 N
0.000 0.000 0.000 Zr
0.000 0.500 0.000 F
0.500 0.000 0.000 F
```



Entry 20:
The following is a meta-GGA SCAN calculation of SbS2NF at its PBEsol-relaxed geometry, from Alexandria via LeMat-Bulk.

Values from the calculation:
- E above lowest polymorph (eV/atom) = 0.2861

The structure in POSCAR format:
```
SbS2NF
1.0
3.971 0.000 0.000
0.000 4.393 0.000
0.000 0.000 4.393
Sb S N F
1 2 1 1
Direct
0.500 0.500 0.500 Sb
0.000 0.000 0.500 S
0.000 0.500 0.000 S
0.500 0.000 0.000 N
0.000 0.000 0.000 F
```



Entry 21:
The following is a meta-GGA SCAN calculation of SbS2NF at its PBEsol-relaxed geometry, from Alexandria via LeMat-Bulk.

Values from the calculation:
- E above lowest polymorph (eV/atom) = 0.0000

The structure in POSCAR format:
```
SbS2NF
1.0
3.946 0.000 0.000
0.000 5.028 0.000
0.000 0.000 5.028
Sb S N F
1 2 1 1
Direct
0.000 0.000 0.000 Sb
0.000 0.000 0.500 S
0.000 0.500 0.000 S
0.500 0.000 0.000 N
0.500 0.500 0.500 F
```



Entry 22:
The following is a meta-GGA SCAN calculation of ScSN2F at its PBEsol-relaxed geometry, from Alexandria via LeMat-Bulk.

The structure in POSCAR format:
```
ScSN2F
1.0
-2.979 -1.918 -1.456
-0.394 -2.159 3.652
-2.649 2.990 1.482
Sc S N F
1 1 2 1
Direct
0.000 0.000 0.000 Sc
0.500 0.500 0.500 S
0.000 0.000 0.500 N
0.000 0.500 0.000 N
0.500 0.000 0.000 F
```



Entry 23:
The following is a meta-GGA SCAN calculation of SnS2NF at its PBEsol-relaxed geometry, from Alexandria via LeMat-Bulk.

The structure in POSCAR format:
```
SnS2NF
1.0
4.026 0.000 0.000
0.000 5.074 0.000
0.000 0.000 5.074
S N Sn F
2 1 1 1
Direct
0.000 0.000 0.500 S
0.000 0.500 0.000 S
0.500 0.000 0.000 N
0.000 0.000 0.000 Sn
0.500 0.500 0.500 F
```



Entry 24:
The following is a meta-GGA SCAN calculation of TcSNF2 at its PBEsol-relaxed geometry, from Alexandria via LeMat-Bulk.

The structure in POSCAR format:
```
TcSNF2
1.0
-1.580 1.371 2.512
2.112 -2.805 2.859
3.355 3.004 0.469
S N Tc F
1 1 1 2
Direct
0.000 0.000 0.000 S
0.500 0.000 0.000 N
0.500 0.500 0.500 Tc
0.000 0.000 0.500 F
0.000 0.500 0.000 F
```



Entry 25:
The following is a meta-GGA SCAN calculation of ZnSN2F at its PBEsol-relaxed geometry, from Alexandria via LeMat-Bulk.

Values from the calculation:
- E above lowest polymorph (eV/atom) = 0.3746

The structure in POSCAR format:
```
ZnSN2F
1.0
3.575 0.000 0.000
0.000 3.575 0.000
0.000 0.000 6.243
Zn N S F
1 2 1 1
Direct
0.500 0.500 0.500 Zn
0.000 0.500 0.000 N
0.500 0.000 0.000 N
0.000 0.000 0.500 S
0.000 0.000 0.000 F
```



Entry 26:
The following is a meta-GGA SCAN calculation of ZnSN2F at its PBEsol-relaxed geometry, from Alexandria via LeMat-Bulk.

Values from the calculation:
- E above lowest polymorph (eV/atom) = 0.0000

The structure in POSCAR format:
```
ZnSN2F
1.0
3.738 0.000 0.000
0.000 3.738 0.000
0.000 0.000 5.205
Zn N S F
1 2 1 1
Direct
0.000 0.000 0.000 Zn
0.000 0.500 0.000 N
0.500 0.000 0.000 N
0.000 0.000 0.500 S
0.500 0.500 0.500 F
```



Entry 27:
The following is a meta-GGA SCAN calculation of ZrS2NF at its PBEsol-relaxed geometry, from Alexandria via LeMat-Bulk.

The structure in POSCAR format:
```
ZrS2NF
1.0
4.151 0.000 0.000
0.000 4.961 0.000
0.000 0.000 4.961
S N Zr F
2 1 1 1
Direct
0.000 0.000 0.500 S
0.000 0.500 0.000 S
0.500 0.000 0.000 N
0.000 0.000 0.000 Zr
0.500 0.500 0.500 F
```



Entry 28:
The following is a meta-GGA SCAN calculation of Sb2NF at its PBEsol-relaxed geometry, from Alexandria via LeMat-Bulk.

The structure in POSCAR format:
```
Sb2NF
1.0
-0.540 -2.719 3.829
4.000 -2.286 -1.060
1.804 6.981 2.293
Sb N F
4 2 2
Direct
0.432 0.875 0.250 Sb
0.818 0.375 0.250 Sb
0.125 0.182 0.750 Sb
0.625 0.568 0.750 Sb
0.750 0.250 0.500 N
0.500 0.500 0.000 N
0.250 0.750 0.500 F
0.000 0.000 0.000 F
```



Entry 29:
The following is a meta-GGA SCAN calculation of SbNF2 at its PBEsol-relaxed geometry, from Alexandria via LeMat-Bulk.

The structure in POSCAR format:
```
SbNF2
1.0
-1.064 -1.098 3.740
2.779 -1.456 2.546
1.190 2.207 3.169
Sb N F
1 1 2
Direct
0.500 0.500 0.500 Sb
0.000 0.000 0.000 N
0.250 0.250 0.250 F
0.750 0.750 0.750 F
```



Ordered ΔE_f (raw) results: 76 821 705 542 -367 1698 1419 778 380 -222 -1421 643 -153 442 128 476 434 -1129 -1198 1310 1023 36 926 422 1861 1486 -56 -26 -77; unit meV per atom.
Ordered VASP energy results: -21.7739 -31.1447 -30.7267 -11.3451 -12.9026 -11.4742 -15.9327 -17.5846 -17.9831 -20.6799 -17.5893 -14.7627 -14.4085 -17.2479 -24.3043 -18.3638 -24.2772 -16.9374 -17.5773 -12.5601 -12.8462 -9.1617 -12.6752 -11.7902 -7.1926 -7.5672 -12.6130 -21.8643 -13.4853; unit eV per atom.